A geometry-optimized NaHIrSe2 structure. Source: Alexandria via LeMat-Bulk, functional PBE-GGA.

```
NaHIrSe2
1.0
5.0474 0.0000 0.0000
0.0000 5.0474 0.0000
0.0000 0.0000 4.9966
Na H Ir Se
1 1 1 2
direct
0.0000 0.0000 0.0000
0.5000 0.5000 0.5000
0.0000 0.0000 0.5000
0.0000 0.5000 0.0000
0.5000 0.0000 0.0000
```

Total magnetization (μB per cell): 2.9
Mass density (Mg/m³): 4.88
E_tot (eV/atom): -2.21

***

A geometry-optimized TaCrCd2 structure. Source: Alexandria via LeMat-Bulk, functional PBE-GGA.

```
TaCrCd2
1.0
4.2398 0.0000 0.0000
0.0000 4.2398 0.0000
0.0000 0.0000 8.1763
Ta Cr Cd
2 2 4
direct
0.0000 0.0000 0.0000
0.5000 0.5000 0.5000
0.0000 0.5000 0.2500
0.5000 0.0000 0.7500
0.0000 0.0000 0.5000
0.0000 0.5000 0.7500
0.5000 0.0000 0.2500
0.5000 0.5000 0.0000
```

Total magnetization (μB per cell): 4.9
Offset from the most stable computed form (meV per atom): 260
Mass density (Mg/m³): 10.34
E_tot (eV/atom): -5.28

***

A geometry-optimized Ge2PdPbS6 structure. Source: Alexandria via LeMat-Bulk, functional PBE-GGA.

```
Ge2PdPbS6
1.0
6.1726 -6.3228 0.0000
6.1726 6.3228 0.0000
-0.8821 0.0000 6.2054
Ge Pd Pb S
4 2 2 12
direct
0.1356 0.2725 0.2759
0.2725 0.1356 0.7759
0.7275 0.8644 0.2241
0.8644 0.7275 0.7241
0.1259 0.8741 0.2500
0.8741 0.1259 0.7500
0.3976 0.6024 0.7500
0.6024 0.3976 0.2500
0.0721 0.2732 0.6378
0.0775 0.7098 0.9294
0.2732 0.0721 0.1378
0.2903 0.4751 0.3017
0.2902 0.9225 0.5706
0.4751 0.2903 0.8017
0.5249 0.7097 0.1983
0.7098 0.0775 0.4294
0.7097 0.5249 0.6983
0.7268 0.9279 0.8622
0.9225 0.2902 0.0706
0.9279 0.7268 0.3622
```

Total magnetization (μB per cell): 0.0
Mass density (Mg/m³): 4.47
E_tot (eV/atom): -4.54
Formation energy (no corrections) (eV/f.u.): -2.504

***

A geometry-optimized RbBaTa3 structure. Source: Alexandria via LeMat-Bulk, functional PBE-GGA.

```
RbBaTa3
1.0
5.3204 0.0000 0.0000
0.0000 5.3204 0.0000
0.0000 0.0000 5.3204
Rb Ba Ta
1 1 3
direct
0.0000 0.0000 0.0000
0.5000 0.5000 0.5000
0.0000 0.5000 0.5000
0.5000 0.0000 0.5000
0.5000 0.5000 0.0000
```

Total magnetization (μB per cell): 0.0
Offset from the most stable computed form (meV per atom): 0
Mass density (Mg/m³): 8.44
E_tot (eV/atom): -4.73

***

A geometry-optimized Y2TlCo structure. Source: Alexandria via LeMat-Bulk, functional PBE-GGA.

```
Y2TlCo
1.0
6.3677 0.0000 0.0000
0.0000 3.8128 0.0000
-2.3932 0.0000 8.4128
Y Tl Co
4 2 2
direct
0.2303 0.0000 0.1898
0.2697 0.5000 0.8102
0.7303 0.5000 0.1898
0.7697 0.0000 0.8102
0.0000 0.0000 0.5000
0.5000 0.5000 0.5000
0.0000 0.5000 0.0000
0.5000 0.0000 0.0000
```

Total magnetization (μB per cell): 0.0
Mass density (Mg/m³): 7.17
E_tot (eV/atom): -5.76

***

A geometry-optimized TmTlPb structure. Source: Alexandria via LeMat-Bulk, functional PBE-GGA.

```
TmTlPb
1.0
5.2405 0.0000 0.0000
-2.6202 4.5384 0.0000
0.0000 0.0000 3.5930
Tm Tl Pb
1 1 1
direct
0.0000 0.0000 0.0000
0.3333 0.6667 0.6945
0.6667 0.3333 0.3698
```

Total magnetization (μB per cell): 0.0
Offset from the most stable computed form (meV per atom): 108
Mass density (Mg/m³): 11.28
E_tot (eV/atom): -3.66

***

A geometry-optimized LaTaTl4 structure. Source: Alexandria via LeMat-Bulk, functional PBE-GGA.

```
LaTaTl4
1.0
0.0000 4.3271 4.3271
4.3271 0.0000 4.3271
4.3271 4.3271 0.0000
La Ta Tl
1 1 4
direct
0.0000 0.0000 0.0000
0.7500 0.7500 0.7500
0.3757 0.3757 0.3757
0.3757 0.3757 0.8730
0.3757 0.8730 0.3757
0.8730 0.3757 0.3757
```

Total magnetization (μB per cell): 1.2
Mass density (Mg/m³): 11.66
E_tot (eV/atom): -3.87

***

A geometry-optimized TlFeP2 structure. Source: Alexandria via LeMat-Bulk, functional PBE-GGA.

```
TlFeP2
1.0
7.6049 0.0000 0.0000
0.0000 3.1540 0.0000
-1.4813 0.0000 6.4305
Tl Fe P
2 2 4
direct
0.0000 0.0000 0.0000
0.5000 0.5000 0.0000
0.1349 0.5000 0.4152
0.6349 0.0000 0.4152
0.1879 0.0000 0.6513
0.3380 0.0000 0.3877
0.6879 0.5000 0.6513
0.8380 0.5000 0.3877
```

Total magnetization (μB per cell): 0.0
Offset from the most stable computed form (meV per atom): 31
Mass density (Mg/m³): 6.94
E_tot (eV/atom): -5.41

***

Repeat the eighth record exactly.
A geometry-optimized TlFeP2 structure. Source: Alexandria via LeMat-Bulk, functional PBE-GGA.

```
TlFeP2
1.0
7.6049 0.0000 0.0000
0.0000 3.1540 0.0000
-1.4813 0.0000 6.4305
Tl Fe P
2 2 4
direct
0.0000 0.0000 0.0000
0.5000 0.5000 0.0000
0.1349 0.5000 0.4152
0.6349 0.0000 0.4152
0.1879 0.0000 0.6513
0.3380 0.0000 0.3877
0.6879 0.5000 0.6513
0.8380 0.5000 0.3877
```

Total magnetization (μB per cell): 0.0
Offset from the most stable computed form (meV per atom): 31
Mass density (Mg/m³): 6.94
E_tot (eV/atom): -5.41

***

Question: What is the formula in the fourth record?
Answer: RbBaTa3

***

Question: What is the mass density in the third record?
Answer: 4.47 Mg/m³